No. 1
A geometry-optimized Li2CaBRh structure. Source: the Alexandria database, functional PBE.

Formation energy from the elements: -135.3 meV per atom
Calculated volume: 79.4 Å³ per cell
Space-group type: No. 123
Crystal system: tetragonal

a = 4.3826 Å, b = 4.3826 Å, c = 4.1327 Å
α = 90.00°, β = 90.00°, γ = 90.00°
Last column: nearest neighbours and their distance in Å.
Atoms (fractional coordinates):
Ca 0.5000 0.5000 0.5000  8 Li 3.01, 4 Rh 3.10
B 0.0000 0.0000 0.0000  2 Rh 2.07, 4 Li 2.19
Rh 0.0000 0.0000 0.5000  2 B 2.07
Li 0.0000 0.5000 0.0000  2 B 2.19
Li 0.5000 0.0000 0.0000  2 B 2.19

No. 2
A geometry-optimized Li2CaBRu structure. Source: the Alexandria database, functional PBE.

Formation energy from the elements: 66.0 meV per atom
Calculated volume: 79.3 Å³ per cell
Space-group type: No. 123
Crystal system: tetragonal

a = 4.3820 Å, b = 4.1282 Å, c = 4.3820 Å
α = 90.00°, β = 90.00°, γ = 90.00°
Last column: nearest neighbours and their distance in Å.
Atoms (fractional coordinates):
Ru 0.0000 0.5000 0.0000  2 B 2.06
Ca 0.5000 0.5000 0.5000  8 Li 3.01, 4 Ru 3.10
B 0.0000 0.0000 0.0000  2 Ru 2.06, 4 Li 2.19
Li 0.0000 0.0000 0.5000  2 B 2.19
Li 0.5000 0.0000 0.0000  2 B 2.19

No. 3
A geometry-optimized Li2CaBS4 structure. Source: the Alexandria database, functional PBE.

DFT total energy: -4.68 eV/atom
Calculated volume: 141.3 Å³ per cell
Space-group type: No. 121
Crystal system: tetragonal

a = 6.2881 Å, b = 5.7038 Å, c = 5.7038 Å
α = 77.57°, β = 56.55°, γ = 56.55°
Last column: nearest neighbours and their distance in Å.
Atoms (fractional coordinates):
Li 0.5000 0.7498 0.2502  4 S 2.42
Li 0.5000 0.2502 0.7498  4 S 2.42
Ca 0.0000 0.0000 0.0000  8 S 3.00-3.02
B 0.0000 0.5000 0.5000  4 S 1.93
S 0.6367 0.5348 0.8285  1 B 1.93
S 0.3633 0.1715 0.4652  1 B 1.93
S 0.0000 0.4652 0.1715  1 B 1.93
S 0.0000 0.8285 0.5348  1 B 1.93

No. 4
A geometry-optimized LiCaBSe2 structure. Source: the Alexandria database, functional PBE.

DFT total energy: -3.77 eV/atom
Calculated volume: 94.7 Å³ per cell
Space-group type: No. 123
Crystal system: tetragonal

a = 4.8133 Å, b = 4.0878 Å, c = 4.8133 Å
α = 90.00°, β = 90.00°, γ = 90.00°
Last column: nearest neighbours and their distance in Å.
Atoms (fractional coordinates):
Ca 0.5000 0.5000 0.5000  8 Se 3.16, 4 Li 3.40
B 0.0000 0.0000 0.0000  2 Li 2.04
Se 0.0000 0.0000 0.5000  2 B 2.41
Se 0.5000 0.0000 0.0000  2 B 2.41
Li 0.0000 0.5000 0.0000  2 B 2.04

No. 5
A geometry-optimized Ca2MgB structure. Source: the Alexandria database, functional PBE.

Formation energy from the elements: 319.6 meV per atom
Calculated volume: 234.4 Å³ per cell
Space-group type: No. 122
Crystal system: tetragonal
Energy relative to the lowest polymorph listed for this composition: 0.00 eV per formula unit

a = 10.2027 Å, b = 10.2027 Å, c = 7.5578 Å
α = 47.55°, β = 47.55°, γ = 90.00°
Last column: nearest neighbours and their distance in Å.
Atoms (fractional coordinates):
Ca 0.4555 0.1250 0.2500  2 B 2.74
Ca 0.2945 0.6250 0.2500  2 B 2.74
Ca 0.3750 0.5445 0.7500  2 B 2.74
Ca 0.8750 0.7055 0.7500  2 B 2.74
B 0.5000 0.5000 0.0000  2 Mg 2.25
B 0.2500 0.7500 0.5000  2 Mg 2.25
Mg 0.0000 0.0000 0.0000  2 B 2.25
Mg 0.7500 0.2500 0.5000  2 B 2.25

No. 6
A geometry-optimized Ca2MgB structure. Source: the Alexandria database, functional PBE.

Formation energy from the elements: 474.0 meV per atom
Calculated volume: 91.0 Å³ per cell
Space-group type: No. 225
Crystal system: cubic
Energy relative to the lowest polymorph listed for this composition: 0.62 eV per formula unit

a = 5.0492 Å, b = 5.0492 Å, c = 5.0492 Å
α = 60.00°, β = 60.00°, γ = 60.00°
Last column: nearest neighbours and their distance in Å.
Atoms (fractional coordinates):
Ca 0.2500 0.2500 0.2500  4 Mg 3.09, 4 B 3.09
Ca 0.7500 0.7500 0.7500  4 Mg 3.09, 4 B 3.09
B 0.0000 0.0000 0.0000  8 Ca 3.09
Mg 0.5000 0.5000 0.5000  8 Ca 3.09

Q: Which value of calculated volume does entry 5 give?
A: 234.4 Å³ per cell

Q: What is the calculated volume in the second record?
A: 79.3 Å³ per cell

Q: The lowest calculated volume belongs to which entry?
A: Li2CaBRu